(1)
5
Lattice="5.162 0.000 0.000 0.000 5.162 0.000 0.000 0.000 5.338" Properties=species:S:1:pos:R:3 comment="Sb2MoICl, relaxed, DFT GGA-PBEsol" mass_density_g_cm3=5.86 e_tot_ev_per_atom=-4.637 pbc="T T T"
Sb 0.000 2.581 0.000
Sb 2.581 0.000 0.000
Mo 0.000 0.000 0.000
I 0.000 0.000 2.669
Cl 2.581 2.581 2.669

(2)
5
Lattice="5.401 0.000 0.000 0.000 5.401 0.000 0.000 0.000 4.607" Properties=species:S:1:pos:R:3 comment="TeMoI2Cl, relaxed, DFT GGA-PBEsol" mass_density_g_cm3=6.34 e_tot_ev_per_atom=-3.914 pbc="T T T"
Te 0.000 0.000 0.000
Mo 2.700 2.700 2.304
I 0.000 2.700 2.304
I 2.700 0.000 2.304
Cl 2.700 2.700 0.000